This record from the Alexandria database describes a geometry-optimized KMg2Se structure. The functional is PBE.

Unit cell a=6.659 b=6.659 c=3.111 alpha=90.00 beta=90.00 gamma=124.64
Sites, in units of the cell vectors:
K (0.000, 0.500, 0.500)
Mg (0.000, 0.000, 0.000)
Mg (0.500, 0.500, 0.000)
Se (0.500, 0.000, 0.500)

Output
total moment: 0.0 μB/f.u.
SG: No. 65
uncorrected formation energy: -0.03 eV/atom